1.
{
  "formula": "Sc2CoB6",
  "functional": "GGA-PBE",
  "state": "optimized geometry",
  "formation_enthalpy_0k_ev_per_atom": -0.303,
  "final_energy_ev_per_atom": -6.951,
  "crystal_system": "monoclinic",
  "n_ef_per_ev_fu": 2.6,
  "cell": [[-3.3026, -3.3099, -0.7059], [2.8175, -1.4902, -3.4931], [3.9541, -3.7130, 6.2582]],
  "species": ["B", "Sc", "Sc", "B", "B", "B", "B", "Sc", "B", "B", "Sc", "B", "B", "B", "Co", "B", "Co", "B"],
  "fractional_positions": [[0.3702, 0.3702, 0.4783], [0.3267, 0.8335, 0.3177], [0.1665, 0.6733, 0.6823], [0.9186, 0.5345, 0.9067], [0.4458, 0.4458, 0.1034], [0.0814, 0.4655, 0.0933], [0.4655, 0.0814, 0.0933], [0.8335, 0.3267, 0.3177], [0.5542, 0.5542, 0.8966], [0.1377, 0.1377, 0.5498], [0.6733, 0.1665, 0.6823], [0.8930, 0.8930, 0.8964], [0.8623, 0.8623, 0.4502], [0.1070, 0.1070, 0.1036], [0.2204, 0.2204, 0.8833], [0.6298, 0.6298, 0.5217], [0.7796, 0.7796, 0.1167], [0.5345, 0.9186, 0.9067]]
}



2.
{
  "formula": "ScCo12B6",
  "functional": "GGA-PBE",
  "state": "optimized geometry",
  "formation_enthalpy_0k_ev_per_atom": -0.305,
  "final_energy_ev_per_atom": -7.235,
  "crystal_system": "trigonal",
  "n_ef_per_ev_fu": 14.3,
  "cell": [[5.9250, 0.0114, 0.0161], [-1.4577, 5.7429, 0.0161], [-1.4577, -1.8776, 5.4273]],
  "species": ["B", "B", "Co", "B", "B", "Co", "B", "Co", "Co", "Co", "B", "Co", "Co", "Co", "Sc", "Co", "Co", "Co", "Co"],
  "fractional_positions": [[0.3163, 0.7655, 0.7655], [0.7655, 0.3163, 0.7655], [0.8152, 0.5477, 0.5477], [0.2345, 0.6837, 0.2345], [0.2345, 0.2345, 0.6837], [0.1313, 0.5000, 0.8687], [0.7655, 0.7655, 0.3163], [0.4523, 0.1848, 0.4523], [0.8687, 0.5000, 0.1313], [0.4523, 0.4523, 0.1848], [0.6837, 0.2345, 0.2345], [0.8687, 0.1313, 0.5000], [0.1313, 0.8687, 0.5000], [0.5000, 0.8687, 0.1313], [0.0000, 0.0000, 0.0000], [0.5477, 0.5477, 0.8152], [0.1848, 0.4523, 0.4523], [0.5000, 0.1313, 0.8687], [0.5477, 0.8152, 0.5477]]
}



3.
{
  "formula": "ScCoB3",
  "functional": "GGA-PBE",
  "state": "optimized geometry",
  "formation_enthalpy_0k_ev_per_atom": 0.202,
  "final_energy_ev_per_atom": -6.492,
  "crystal_system": "cubic",
  "n_ef_per_ev_fu": 3.4,
  "cell": [[-3.4382, 1.0418, -1.0957], [-1.0961, 0.1570, 3.5890], [1.0413, 3.6051, 0.1603]],
  "species": ["B", "B", "B", "Co", "Sc"],
  "fractional_positions": [[0.0000, 0.0000, 0.5000], [0.0000, 0.5000, 0.0000], [0.5000, 0.0000, 0.0000], [0.0000, 0.0000, 0.0000], [0.5000, 0.5000, 0.5000]]
}



4.
{
  "formula": "Sc2Co5Si2B",
  "functional": "GGA-PBE",
  "state": "optimized geometry",
  "final_energy_ev_per_atom": -6.954,
  "crystal_system": "tetragonal",
  "formation_energy_uncorrected_kj_per_mol_fu": -369,
  "n_ef_per_ev_fu": 7.6,
  "cell": [[-1.9177, -1.9467, -0.2036], [3.2514, -4.0185, 7.7984], [-5.8388, 5.2161, 5.1222]],
  "species": ["Si", "Co", "Si", "B", "Co", "Co", "Sc", "Co", "Sc", "Co", "Co", "Co", "B", "Co", "Co", "Si", "Co", "Sc", "Sc", "Si"],
  "fractional_positions": [[0.0000, 0.1364, 0.6364], [0.5000, 0.8176, 0.9518], [0.0000, 0.8636, 0.3636], [0.0000, 0.5000, 0.5000], [0.5000, 0.5000, 0.0000], [0.5000, 0.5482, 0.6824], [0.0000, 0.3298, 0.8298], [0.5000, 0.0000, 0.5000], [0.0000, 0.8298, 0.6702], [0.5000, 0.9518, 0.1824], [0.5000, 0.3176, 0.5482], [0.5000, 0.6824, 0.4518], [0.0000, 0.0000, 0.0000], [0.5000, 0.0482, 0.8176], [0.5000, 0.4518, 0.3176], [0.0000, 0.3636, 0.1364], [0.5000, 0.1824, 0.0482], [0.0000, 0.1702, 0.3298], [0.0000, 0.6702, 0.1702], [0.0000, 0.6364, 0.8636]]
}



> Number 4 is which compound?

Sc2Co5Si2B